ErU4S5, optimized geometry, DFT PBE-GGA; VASP energy = -8.52 eV per atom; volume = 20.38 A^3/atom; E_form (uncorrected) = -1.4845 eV/atom
1.0
-1.909 2.728 9.781
1.909 -2.728 9.781
1.909 2.728 -9.781
Er U S
1 4 5
Direct
0.000 0.000 0.000
0.200 0.200 0.000
0.400 0.400 0.000
0.600 0.600 0.000
0.800 0.800 0.000
0.099 0.599 0.500
0.300 0.800 0.500
0.500 0.000 0.500
0.700 0.200 0.500
0.901 0.401 0.500